(1)
First-principles (PBE-GGA) data for a geometry-optimized Al2PBr structure, as listed in the Alexandria database.

abc: 3.0647 4.8598 5.1040
angles: 90.00 90.00 90.00
Space group Pmmm (No. 47)
One atom of each set of equivalent atoms:
Al 0.0000 0.0000 0.0000 [1 per cell]
Al 0.5000 0.0000 0.5000 [1 per cell]
P 0.0000 0.5000 0.5000 [1 per cell]
Br 0.5000 0.5000 0.0000 [1 per cell]

Properties
E above lowest polymorph = 656 meV/atom

=====

(2)
First-principles (PBE-GGA) data for a geometry-optimized SbTePb2Br structure, as listed in the Alexandria database.

abc: 6.1418 6.1418 5.7035
angles: 90.00 90.00 90.00
Space group P4/mmm (No. 123)
One atom of each set of equivalent atoms:
Sb 0.0000 0.0000 0.0000 [1 per cell]
Te 0.0000 0.0000 0.5000 [1 per cell]
Pb 0.0000 0.5000 0.5000 [2 per cell]
Br 0.5000 0.5000 0.0000 [1 per cell]

=====

Number 1: uncorrected formation energy 0.39 eV per atom, total magnetic moment 0.000 μB/f.u.. Number 2: uncorrected formation energy 0.38 eV per atom, total magnetic moment 0.000 μB/f.u..